# K2Zn2F5 GGA-PBE optimized geometry
data_K2Zn2F5
_chemical_formula_sum 'K4 Zn4 F10'
_symmetry_space_group_name_H-M 'C 1 2/m 1'
_symmetry_Int_Tables_number 12
_symmetry_space_group_name_Hall '-C 2y'
_cell_length_a 11.8728
_cell_length_b 4.3658
_cell_length_c 6.3632
_cell_angle_alpha 90.00
_cell_angle_beta 110.08
_cell_angle_gamma 90.00
loop_
_atom_site_label
_atom_site_fract_x
_atom_site_fract_y
_atom_site_fract_z
_atom_site_occupancy
K1 0.1076 0.0000 0.3273 1
Zn1 0.1507 0.5000 0.8895 1
F1 0.0000 0.5000 0.0000 1
F2 0.1493 0.5000 0.5778 1
F3 0.1543 0.0000 0.9208 1
# * magnetization: 0.00 Bohr magnetons per cell
# * D(E_F): 0.1631 states/eV per atom
# * energy above the most stable polymorph in this dataset: 3.62 kJ per mole of atoms
# * raw formation energy: -2233.4 meV/atom

---

# KZnF3 GGA-PBE optimized geometry
data_KZnF3
_chemical_formula_sum 'K4 Zn4 F12'
_symmetry_space_group_name_H-M 'C m c m'
_symmetry_Int_Tables_number 63
_symmetry_space_group_name_Hall '-C 2c 2'
_cell_length_a 5.9873
_cell_length_b 15.2390
_cell_length_c 5.0988
_cell_angle_alpha 90.00
_cell_angle_beta 90.00
_cell_angle_gamma 90.00
loop_
_atom_site_label
_atom_site_fract_x
_atom_site_fract_y
_atom_site_fract_z
_atom_site_occupancy
K1 0.0000 0.1813 0.2500 1
Zn1 0.0000 0.4051 0.2500 1
F1 0.0000 0.5000 0.0000 1
F2 0.2490 0.1713 0.7500 1
# * magnetization: 0.00 Bohr magnetons per cell
# * D(E_F): 0.0000 states/eV per atom
# * raw formation energy: -2418.2 meV/atom

---

# KZnF2 GGA-PBE optimized geometry
data_KZnF2
_chemical_formula_sum 'K4 Zn4 F8'
_symmetry_space_group_name_H-M 'I -4 2 d'
_symmetry_Int_Tables_number 122
_symmetry_space_group_name_Hall 'I -4 2bw'
_cell_length_a 5.7504
_cell_length_b 5.7504
_cell_length_c 10.0650
_cell_angle_alpha 90.00
_cell_angle_beta 90.00
_cell_angle_gamma 90.00
loop_
_atom_site_label
_atom_site_fract_x
_atom_site_fract_y
_atom_site_fract_z
_atom_site_occupancy
K1 0.0000 0.0000 0.0000 1
Zn1 0.0000 0.0000 0.5000 1
F1 0.1806 0.2500 0.6250 1
# * magnetization: 0.00 Bohr magnetons per cell
# * D(E_F): 0.0105 states/eV per atom
# * energy above the most stable polymorph in this dataset: 2.73 kJ per mole of atoms
# * raw formation energy: -1912.2 meV/atom

---

# KZnF3 GGA-PBE optimized geometry
data_KZnF3
_chemical_formula_sum 'K2 Zn2 F6'
_symmetry_space_group_name_H-M 'P 63/m m c'
_symmetry_Int_Tables_number 194
_symmetry_space_group_name_Hall '-P 6c 2c'
_cell_length_a 4.1561
_cell_length_b 4.1561
_cell_length_c 8.5752
_cell_angle_alpha 90.00
_cell_angle_beta 90.00
_cell_angle_gamma 120.00
loop_
_atom_site_label
_atom_site_fract_x
_atom_site_fract_y
_atom_site_fract_z
_atom_site_occupancy
K1 0.3333 0.6667 0.2500 1
Zn1 0.0000 0.0000 0.0000 1
F1 0.0000 0.0000 0.2500 1
F2 0.3333 0.6667 0.5548 1
# * magnetization: 0.00 Bohr magnetons per cell
# * D(E_F): 0.0000 states/eV per atom
# * raw formation energy: -2170.3 meV/atom

---

# KZn3F GGA-PBE optimized geometry
data_KZn3F
_chemical_formula_sum 'K1 Zn3 F1'
_symmetry_space_group_name_H-M 'P m -3 m'
_symmetry_Int_Tables_number 221
_symmetry_space_group_name_Hall '-P 4 2 3'
_cell_length_a 6.5064
_cell_length_b 6.5064
_cell_length_c 6.5064
_cell_angle_alpha 90.00
_cell_angle_beta 90.00
_cell_angle_gamma 90.00
loop_
_atom_site_label
_atom_site_fract_x
_atom_site_fract_y
_atom_site_fract_z
_atom_site_occupancy
K1 0.0000 0.0000 0.0000 1
Zn1 0.0000 0.0000 0.5000 1
F1 0.5000 0.5000 0.5000 1
# * magnetization: 0.02 Bohr magnetons per cell
# * D(E_F): 0.3972 states/eV per atom
# * energy above the most stable polymorph in this dataset: 46.81 kJ per mole of atoms
# * raw formation energy: 264.4 meV/atom

---

# KZnF3 GGA-PBE optimized geometry
data_KZnF3
_chemical_formula_sum 'K2 Zn2 F6'
_symmetry_space_group_name_H-M 'P m m a'
_symmetry_Int_Tables_number 51
_symmetry_space_group_name_Hall '-P 2a 2a'
_cell_length_a 5.9912
_cell_length_b 4.1831
_cell_length_c 6.1791
_cell_angle_alpha 90.00
_cell_angle_beta 90.00
_cell_angle_gamma 90.00
loop_
_atom_site_label
_atom_site_fract_x
_atom_site_fract_y
_atom_site_fract_z
_atom_site_occupancy
K1 0.2500 0.0000 0.2344 1
Zn1 0.2500 0.5000 0.7776 1
F1 0.0000 0.5000 0.0000 1
F2 0.2500 0.0000 0.7892 1
F3 0.2500 0.5000 0.4709 1
# * magnetization: 0.00 Bohr magnetons per cell
# * D(E_F): 0.0000 states/eV per atom
# * raw formation energy: -2492.2 meV/atom

---

# KZnF3 GGA-PBE optimized geometry
data_KZnF3
_chemical_formula_sum 'K1 Zn1 F3'
_symmetry_space_group_name_H-M 'P m -3 m'
_symmetry_Int_Tables_number 221
_symmetry_space_group_name_Hall '-P 4 2 3'
_cell_length_a 4.6842
_cell_length_b 4.6842
_cell_length_c 4.6842
_cell_angle_alpha 90.00
_cell_angle_beta 90.00
_cell_angle_gamma 90.00
loop_
_atom_site_label
_atom_site_fract_x
_atom_site_fract_y
_atom_site_fract_z
_atom_site_occupancy
K1 0.0000 0.0000 0.0000 1
Zn1 0.5000 0.5000 0.5000 1
F1 0.0000 0.0000 0.5000 1
# * magnetization: 0.15 Bohr magnetons per cell
# * D(E_F): 0.5634 states/eV per atom
# * raw formation energy: -1100.8 meV/atom

---

# KZnF3 GGA-PBE optimized geometry
data_KZnF3
_chemical_formula_sum 'K4 Zn4 F12'
_symmetry_space_group_name_H-M 'C m c m'
_symmetry_Int_Tables_number 63
_symmetry_space_group_name_Hall '-C 2c 2'
_cell_length_a 5.0951
_cell_length_b 14.7092
_cell_length_c 4.8465
_cell_angle_alpha 90.00
_cell_angle_beta 90.00
_cell_angle_gamma 90.00
loop_
_atom_site_label
_atom_site_fract_x
_atom_site_fract_y
_atom_site_fract_z
_atom_site_occupancy
K1 0.0000 0.1692 0.2500 1
Zn1 0.0000 0.4233 0.2500 1
F1 0.0000 0.0000 0.0000 1
F2 0.2454 0.1670 0.7500 1
# * magnetization: 0.76 Bohr magnetons per cell
# * D(E_F): 0.1218 states/eV per atom
# * raw formation energy: -1819.0 meV/atom